[1]
Compound: La6Sm5Er
Source: Alexandria
Functional: PBE
Structure: relaxed

- Formation enthalpy at 0 K: 0.2 eV/f.u.
- E above lowest polymorph: 0.0 meV/atom
- SG: Immm

Cell lengths 5.2423, 11.4814, 9.7276 Å; angles 53.83, 74.37, 62.84 degrees
Element x y z (fractional)
La1 0.7514 0.0828 0.3320
La2 0.2486 0.5852 0.3320
La3 0.2515 0.2486 0.0000
La4 0.7485 0.7514 0.0000
La5 0.7514 0.4148 0.6680
La6 0.2486 0.9172 0.6680
Sm1 0.5000 0.1662 0.6677
Sm2 0.0000 0.3332 0.3336
Sm3 0.5000 0.5000 0.0000
Sm4 0.0000 0.6668 0.6664
Sm5 0.5000 0.8338 0.3323
Er1 0.0000 0.0000 0.0000

=====

[2]
Compound: Nd2Ho5Bi3C2
Source: Alexandria
Functional: PBE
Structure: relaxed

- Formation enthalpy at 0 K: -7.7 eV/f.u.
- SG: I4/mmm

Cell lengths 4.8627, 4.8627, 13.5825 Å; angles 100.31, 100.31, 90.00 degrees
Element x y z (fractional)
Nd1 0.6932 0.6932 0.3863
Nd2 0.3068 0.3068 0.6137
Ho1 0.5920 0.0920 0.1840
Ho2 0.4080 0.9080 0.8160
Ho3 0.0920 0.5920 0.1840
Ho4 0.9080 0.4080 0.8160
Ho5 0.5000 0.5000 0.0000
Bi1 0.1790 0.1790 0.3581
Bi2 0.8210 0.8210 0.6419
Bi3 0.0000 0.0000 0.0000
C1 0.4067 0.4067 0.8134
C2 0.5933 0.5933 0.1866

=====

[3]
Compound: BaMg2Fe
Source: Alexandria
Functional: PBE
Structure: relaxed

- Formation enthalpy at 0 K: 2.1 eV/f.u.
- SG: I4/mmm

Cell lengths 5.5541, 5.5541, 5.5541 Å; angles 126.86, 126.86, 78.48 degrees
Each line ends with the local moment (μB).
Element x y z (fractional)
Ba1 0.2500 0.7500 0.5000  -0.08
Fe1 0.7500 0.2500 0.5000  2.96
Mg1 0.0000 0.0000 0.0000  -0.02
Mg2 0.5000 0.5000 0.0000  -0.02

=====

[4]
Compound: RbCd3Pt
Source: Alexandria
Functional: PBE
Structure: relaxed

- Formation enthalpy at 0 K: -0.4 eV/f.u.
- E above lowest polymorph: 163.6 meV/atom
- SG: P2_1/c

Cell lengths 25.6382, 7.0221, 9.7339 Å; angles 90.00, 159.53, 90.00 degrees
Element x y z (fractional)
Rb1 0.4148 0.7588 0.4266
Rb2 0.5852 0.2412 0.5734
Rb3 0.0852 0.2588 0.0734
Rb4 0.9148 0.7412 0.9266
Pt1 0.1326 0.1162 0.6327
Pt2 0.8674 0.8838 0.3673
Pt3 0.3674 0.6162 0.8673
Pt4 0.6326 0.3838 0.1327
Cd1 0.2678 0.9239 0.7576
Cd2 0.7322 0.0761 0.2424
Cd3 0.2322 0.4239 0.7424
Cd4 0.7678 0.5761 0.2576
Cd5 0.3558 0.2563 0.3532
Cd6 0.6442 0.7437 0.6468
Cd7 0.1442 0.7563 0.1468
Cd8 0.8558 0.2437 0.8532
Cd9 0.5379 0.6988 0.0658
Cd10 0.4621 0.3012 0.9342
Cd11 0.9621 0.1988 0.4342
Cd12 0.0379 0.8012 0.5658

=====

[5]
Compound: YEr8Pb6
Source: Alexandria
Functional: PBE
Structure: relaxed

- Formation enthalpy at 0 K: -4.8 eV/f.u.
- SG: R-3

Cell lengths 9.0608, 9.0608, 8.3922 Å; angles 57.33, 57.33, 60.00 degrees
Element x y z (fractional)
Y1 0.0000 0.0000 0.0000
Er1 0.5616 0.2279 0.3156
Er2 0.7721 0.1051 0.6844
Er3 0.1051 0.4384 0.6844
Er4 0.6666 0.6666 0.0001
Er5 0.3334 0.3334 0.9999
Er6 0.8949 0.5616 0.3156
Er7 0.2279 0.8949 0.3156
Er8 0.4384 0.7721 0.6844
Pb1 0.4031 0.0691 0.7932
Pb2 0.9309 0.2653 0.2068
Pb3 0.2653 0.5969 0.2068
Pb4 0.7347 0.4031 0.7932
Pb5 0.0691 0.7347 0.7932
Pb6 0.5969 0.9309 0.2068

=====

[6]
Compound: NbGeBi3
Source: Alexandria
Functional: PBE
Structure: relaxed

- Formation enthalpy at 0 K: 6.2 eV/f.u.
- E above lowest polymorph: 565.2 meV/atom
- SG: Pm-3m

Cell lengths 5.3853, 5.3853, 5.3853 Å; angles 90.00, 90.00, 90.00 degrees
Element x y z (fractional)
Nb1 0.5000 0.5000 0.5000
Ge1 0.0000 0.0000 0.0000
Bi1 0.0000 0.5000 0.0000
Bi2 0.0000 0.0000 0.5000
Bi3 0.5000 0.0000 0.0000